(1)
# Si6NiMo9 GGA-PBEsol relaxed
# theoretical density: 8.2 Mg/m³
# Fermi-level density of states: 17.89 states/eV per cell
# total magnetization: 0.0 μB per formula unit
# energy relative to the elements, uncorrected: -0.44 eV/atom
data_Si6NiMo9
_chemical_formula_sum 'Si12 Ni2 Mo18'
_cell_length_a 9.505
_cell_length_b 9.505
_cell_length_c 4.872
_cell_angle_alpha 90.00
_cell_angle_beta 90.00
_cell_angle_gamma 90.00
_space_group_name_H-M_alt 'I -4 2 m'
_space_group_IT_number 121
_space_group_name_Hall 'I -4 2'
loop_
_atom_site_label
_atom_site_type_symbol
_atom_site_fract_x
_atom_site_fract_y
_atom_site_fract_z
Si1 Si 0.000 0.500 0.000
Si2 Si 0.161 0.161 0.271
Ni1 Ni 0.000 0.000 0.500
Mo1 Mo 0.000 0.000 0.000
Mo2 Mo 0.078 0.275 0.751


(2)
# SrSb GGA-PBEsol relaxed
# theoretical density: 4.5 Mg/m³
# Fermi-level density of states: 3.44 states/eV per cell
# total magnetization: 0.0 μB per formula unit
# energy relative to the elements, uncorrected: -0.25 eV/atom
data_SrSb
_chemical_formula_sum 'Sr2 Sb2'
_cell_length_a 4.3060
_cell_length_b 4.3060
_cell_length_c 9.6610
_cell_angle_alpha 90.00
_cell_angle_beta 90.00
_cell_angle_gamma 120.00
_space_group_name_H-M_alt 'P -3 m 1'
_space_group_IT_number 164
_space_group_name_Hall '-P 3 2"'
loop_
_atom_site_label
_atom_site_type_symbol
_atom_site_fract_x
_atom_site_fract_y
_atom_site_fract_z
Sr1 Sr 0.3333 0.6667 0.1840
Sb1 Sb 0.3333 0.6667 0.5853


Copy entry 1 word for word.
# Si6NiMo9 GGA-PBEsol relaxed
# theoretical density: 8.2 Mg/m³
# Fermi-level density of states: 17.89 states/eV per cell
# total magnetization: 0.0 μB per formula unit
# energy relative to the elements, uncorrected: -0.44 eV/atom
data_Si6NiMo9
_chemical_formula_sum 'Si12 Ni2 Mo18'
_cell_length_a 9.505
_cell_length_b 9.505
_cell_length_c 4.872
_cell_angle_alpha 90.00
_cell_angle_beta 90.00
_cell_angle_gamma 90.00
_space_group_name_H-M_alt 'I -4 2 m'
_space_group_IT_number 121
_space_group_name_Hall 'I -4 2'
loop_
_atom_site_label
_atom_site_type_symbol
_atom_site_fract_x
_atom_site_fract_y
_atom_site_fract_z
Si1 Si 0.000 0.500 0.000
Si2 Si 0.161 0.161 0.271
Ni1 Ni 0.000 0.000 0.500
Mo1 Mo 0.000 0.000 0.000
Mo2 Mo 0.078 0.275 0.751